# 1
A geometry-optimized Te3Se structure, computed with GGA-PBE.

Results
- E_form (uncorrected): 0.211 eV/atom

Unit cell a=3.9408 b=3.9408 c=8.5811 alpha=90.00 beta=90.00 gamma=120.00
Space group P-6m2 (No. 187)
Asymmetric unit:
Te (0.0000, 0.0000, 0.0000) [1 per cell]
Te (0.6667, 0.3333, 0.2596) [2 per cell]
Se (0.0000, 0.0000, 0.5000) [1 per cell]

---

# 2
A geometry-optimized Ac6AsIr2Br3 structure, computed with GGA-PBE.

Results
- E_form (uncorrected): -1.241 eV/atom

Unit cell a=7.7308 b=13.3896 c=8.5360 alpha=90.00 beta=107.43 gamma=90.00
Space group C2/m (No. 12)
Asymmetric unit:
Ac (0.2146, 0.0000, 0.1977) [4 per cell]
Ac (0.2412, 0.3246, 0.1976) [8 per cell]
As (0.0000, 0.5000, 0.0000) [2 per cell]
Ir (0.0000, 0.1668, 0.0000) [4 per cell]
Br (0.0000, 0.0000, 0.5000) [2 per cell]
Br (0.0000, 0.3363, 0.5000) [4 per cell]

---

# 3
A geometry-optimized AcZn2SiRh structure, computed with GGA-PBE.

Results
- E_form (uncorrected): -0.509 eV/atom

Unit cell a=4.4068 b=4.4540 c=10.0851 alpha=90.00 beta=90.00 gamma=90.00
Space group Imm2 (No. 44)
Asymmetric unit:
Ac (0.0000, 0.0000, 0.0000) [2 per cell]
Zn (0.0000, 0.0000, 0.3731) [2 per cell]
Zn (0.0000, 0.5000, 0.2490) [2 per cell]
Si (0.0000, 0.0000, 0.6299) [2 per cell]
Rh (0.0000, 0.5000, 0.7295) [2 per cell]

---

# 4
A geometry-optimized RbLi2GaRh structure, computed with GGA-PBE.

Results
- Energy relative to the elements: -7 kJ/mol of atoms

Unit cell a=5.0542 b=5.0542 c=4.8497 alpha=90.00 beta=90.00 gamma=90.00
Space group P4/mmm (No. 123)
Asymmetric unit:
Rb (0.0000, 0.0000, 0.0000) [1 per cell]
Li (0.0000, 0.5000, 0.5000) [2 per cell]
Ga (0.5000, 0.5000, 0.0000) [1 per cell]
Rh (0.5000, 0.5000, 0.5000) [1 per cell]

---

# 5
A geometry-optimized NpBe4Rh structure, computed with GGA-PBE.

Results
- Energy relative to the elements: 1 kJ/mol of atoms

Unit cell a=6.6528 b=6.6528 c=6.6528 alpha=90.00 beta=90.00 gamma=90.00
Space group F-43m (No. 216)
Asymmetric unit:
Np (0.0000, 0.0000, 0.0000) [4 per cell]
Be (0.1221, 0.1221, 0.6221) [16 per cell]
Rh (0.2500, 0.2500, 0.2500) [4 per cell]

---

# 6
A geometry-optimized La2MoRu structure, computed with GGA-PBE.

Results
- E above lowest polymorph: 0 meV per atom
- Energy relative to the elements: 6 kJ/mol of atoms

Unit cell a=4.1744 b=4.1744 c=23.2640 alpha=90.00 beta=90.00 gamma=120.00
Space group R3m (No. 160, hexagonal axes)
Asymmetric unit:
La (0.0000, 0.0000, 0.0000) [3 per cell]
La (0.0000, 0.0000, 0.1838) [3 per cell]
Mo (0.0000, 0.0000, 0.4363) [3 per cell]
Ru (0.0000, 0.0000, 0.7452) [3 per cell]

---

# 7
A geometry-optimized ZrTaO2 structure, computed with GGA-PBE.

Results
- E above lowest polymorph: 278 meV per atom
- E_form (uncorrected): -1.674 eV/atom

Unit cell a=4.6008 b=4.6008 c=11.1032 alpha=90.00 beta=90.00 gamma=90.00
Space group I-42d (No. 122)
Asymmetric unit:
Zr (0.0000, 0.0000, 0.0000) [4 per cell]
Ta (0.0000, 0.0000, 0.5000) [4 per cell]
O (0.1986, 0.2500, 0.6250) [8 per cell]

---

# 8
A geometry-optimized TaZnPb structure, computed with GGA-PBE.

Results
- Energy relative to the elements: 40 kJ/mol of atoms

Unit cell a=3.1424 b=3.1424 c=7.3625 alpha=90.00 beta=90.00 gamma=120.00
Space group P3m1 (No. 156)
Asymmetric unit:
Ta (0.0000, 0.0000, 0.0000) [1 per cell]
Zn (0.6667, 0.3333, 0.2888) [1 per cell]
Pb (0.3333, 0.6667, 0.6515) [1 per cell]

---

# 9
A geometry-optimized SrTiTe2S structure, computed with GGA-PBE.

Results
- E_form (uncorrected): -0.464 eV/atom

Unit cell a=5.7838 b=5.7838 c=4.4896 alpha=90.00 beta=90.00 gamma=90.00
Space group P4/mmm (No. 123)
Asymmetric unit:
Sr (0.0000, 0.0000, 0.0000) [1 per cell]
Ti (0.5000, 0.5000, 0.0000) [1 per cell]
Te (0.0000, 0.5000, 0.5000) [2 per cell]
S (0.5000, 0.5000, 0.5000) [1 per cell]

---

# 10
A geometry-optimized RbNa2In structure, computed with GGA-PBE.

Results
- Energy relative to the elements: 6 kJ/mol of atoms

Unit cell a=5.6875 b=5.6875 c=4.8054 alpha=90.00 beta=90.00 gamma=90.00
Space group P4/mmm (No. 123)
Asymmetric unit:
Rb (0.0000, 0.0000, 0.0000) [1 per cell]
Na (0.0000, 0.5000, 0.5000) [2 per cell]
In (0.5000, 0.5000, 0.0000) [1 per cell]

---

# 11
A geometry-optimized CaZr2Cl structure, computed with GGA-PBE.

Results
- E above lowest polymorph: 422 meV per atom
- E_form (uncorrected): -0.056 eV/atom

Unit cell a=3.9993 b=3.9993 c=14.0316 alpha=90.00 beta=90.00 gamma=90.00
Space group I4/mmm (No. 139)
Asymmetric unit:
Ca (0.0000, 0.0000, 0.0000) [2 per cell]
Zr (0.0000, 0.5000, 0.2500) [4 per cell]
Cl (0.0000, 0.0000, 0.5000) [2 per cell]

---

# 12
A geometry-optimized MgCrSb structure, computed with GGA-PBE.

Results
- E_form (uncorrected): 0.137 eV/atom

Unit cell a=4.3537 b=7.8232 c=7.4566 alpha=90.00 beta=90.00 gamma=90.00
Space group Imm2 (No. 44)
Asymmetric unit:
Mg (0.0000, 0.0000, 0.0000) [2 per cell]
Mg (0.0000, 0.5000, 0.1073) [2 per cell]
Cr (0.0000, 0.3826, 0.7359) [4 per cell]
Sb (0.0000, 0.2391, 0.4047) [4 per cell]

---

# 13
A geometry-optimized RbLaP2Pd4 structure, computed with GGA-PBE.

Results
- Energy relative to the elements: -57 kJ/mol of atoms

Unit cell a=4.2233 b=4.2233 c=10.7525 alpha=90.00 beta=90.00 gamma=90.00
Space group P4/mmm (No. 123)
Asymmetric unit:
Rb (0.0000, 0.0000, 0.0000) [1 per cell]
La (0.0000, 0.0000, 0.5000) [1 per cell]
P (0.5000, 0.5000, 0.2032) [2 per cell]
Pd (0.0000, 0.5000, 0.2984) [4 per cell]

---

# 14
A geometry-optimized LiTlAsSe2 structure, computed with GGA-PBE.

Results
- E above lowest polymorph: 462 meV per atom
- E_form (uncorrected): 0.165 eV/atom

Unit cell a=5.0208 b=5.0208 c=4.6320 alpha=90.00 beta=90.00 gamma=90.00
Space group P4/mmm (No. 123)
Asymmetric unit:
Li (0.0000, 0.0000, 0.0000) [1 per cell]
Tl (0.5000, 0.5000, 0.5000) [1 per cell]
As (0.0000, 0.0000, 0.5000) [1 per cell]
Se (0.0000, 0.5000, 0.0000) [2 per cell]

---

# 15
A geometry-optimized KCrPb structure, computed with GGA-PBE.

Results
- E above lowest polymorph: 0 meV per atom
- Energy relative to the elements: 44 kJ/mol of atoms

Unit cell a=3.4137 b=4.4301 c=12.4207 alpha=90.00 beta=90.00 gamma=90.00
Space group Imm2 (No. 44)
Asymmetric unit:
K (0.0000, 0.0000, 0.0000) [2 per cell]
Cr (0.0000, 0.0000, 0.7233) [2 per cell]
Pb (0.0000, 0.0000, 0.2896) [2 per cell]

---

# 16
A geometry-optimized Ta2Ti2W structure, computed with GGA-PBE.

Results
- E above lowest polymorph: 0 meV per atom
- Energy relative to the elements: 22 kJ/mol of atoms

Unit cell a=6.1834 b=8.1949 c=7.5402 alpha=90.00 beta=111.46 gamma=90.00
Space group C2/m (No. 12)
Asymmetric unit:
Ta (0.0878, 0.0000, 0.3621) [4 per cell]
Ta (0.2409, 0.0000, 0.0626) [4 per cell]
Ti (0.1515, 0.3090, 0.2037) [8 per cell]
W (0.0000, 0.3210, 0.5000) [4 per cell]

---

# 17
A geometry-optimized ZrSn2PtS structure, computed with GGA-PBE.

Results
- E_form (uncorrected): 0.367 eV/atom

Unit cell a=5.3224 b=5.3224 c=4.5303 alpha=90.00 beta=90.00 gamma=90.00
Space group P4/mmm (No. 123)
Asymmetric unit:
Zr (0.0000, 0.0000, 0.0000) [1 per cell]
Sn (0.0000, 0.5000, 0.5000) [2 per cell]
Pt (0.5000, 0.5000, 0.5000) [1 per cell]
S (0.5000, 0.5000, 0.0000) [1 per cell]

---

# 18
A geometry-optimized La3Tb12Cd structure, computed with GGA-PBE.

Results
- Energy relative to the elements: 1 kJ/mol of atoms

Unit cell a=5.0334 b=5.0334 c=20.3244 alpha=90.00 beta=90.00 gamma=90.00
Space group P4/mmm (No. 123)
Asymmetric unit:
La (0.0000, 0.0000, 0.0000) [1 per cell]
La (0.0000, 0.0000, 0.2530) [2 per cell]
Tb (0.0000, 0.5000, 0.1274) [4 per cell]
Tb (0.0000, 0.5000, 0.3816) [4 per cell]
Tb (0.5000, 0.5000, 0.0000) [1 per cell]
Tb (0.5000, 0.5000, 0.2583) [2 per cell]
Tb (0.5000, 0.5000, 0.5000) [1 per cell]
Cd (0.0000, 0.0000, 0.5000) [1 per cell]

---

# 19
A geometry-optimized K3Na3Au4 structure, computed with GGA-PBE.

Results
- Energy relative to the elements: -24 kJ/mol of atoms

Unit cell a=5.0038 b=11.6656 c=10.3188 alpha=90.00 beta=90.00 gamma=90.00
Space group Amm2 (No. 38)
Asymmetric unit:
K (0.0000, 0.0000, 0.0000) [2 per cell]
K (0.0000, 0.1685, 0.6515) [4 per cell]
Na (0.0000, 0.0000, 0.3249) [2 per cell]
Na (0.5000, 0.2266, 0.9275) [4 per cell]
Au (0.5000, 0.0000, 0.4757) [2 per cell]
Au (0.5000, 0.0000, 0.7568) [2 per cell]
Au (0.5000, 0.1200, 0.2024) [4 per cell]

---

# 20
A geometry-optimized SrH6O2 structure, computed with GGA-PBE.

Results
- E_tot: -4.22 eV/atom

Unit cell a=8.6840 b=4.5448 c=4.6422 alpha=90.00 beta=122.20 gamma=90.00
Space group C2/m (No. 12)
Asymmetric unit:
Sr (0.0000, 0.0000, 0.0000) [2 per cell]
H (0.0000, 0.2703, 0.5000) [4 per cell]
H (0.1581, 0.1640, 0.6582) [8 per cell]
O (0.2360, 0.5000, 0.2352) [4 per cell]

---

# 21
A geometry-optimized Y2Ni structure, computed with GGA-PBE.

Results
- Energy relative to the elements: -28 kJ/mol of atoms

Unit cell a=12.3655 b=3.6627 c=8.0242 alpha=90.00 beta=125.74 gamma=90.00
Space group C2/m (No. 12)
Asymmetric unit:
Y (0.0870, 0.0000, 0.3887) [4 per cell]
Y (0.1667, 0.5000, 0.0748) [4 per cell]
Ni (0.1236, 0.5000, 0.6842) [4 per cell]

---

# 22
A geometry-optimized Fe2PPb structure, computed with GGA-PBE.

Results
- Energy relative to the elements: 66 kJ/mol of atoms

Unit cell a=6.4123 b=6.4123 c=6.4123 alpha=90.00 beta=90.00 gamma=90.00
Space group F-43m (No. 216)
Asymmetric unit:
Fe (0.0000, 0.0000, 0.0000) [4 per cell]
Fe (0.2500, 0.2500, 0.2500) [4 per cell]
P (0.0000, 0.0000, 0.5000) [4 per cell]
Pb (0.2500, 0.2500, 0.7500) [4 per cell]

---

# 23
A geometry-optimized KY structure, computed with GGA-PBE.

Results
- Energy relative to the elements: 120 kJ/mol of atoms

Unit cell a=6.0299 b=6.0299 c=5.8892 alpha=90.00 beta=90.00 gamma=120.00
Space group P6_3/mmc (No. 194)
Asymmetric unit:
K (0.0000, 0.0000, 0.0000) [2 per cell]
Y (0.3333, 0.6667, 0.2500) [2 per cell]

---

# 24
A geometry-optimized Li2Nd3P3 structure, computed with GGA-PBE.

Results
- Energy relative to the elements: -103 kJ/mol of atoms

Unit cell a=4.0695 b=11.5025 c=14.2595 alpha=90.00 beta=90.00 gamma=90.00
Space group Cmcm (No. 63)
Asymmetric unit:
Li (0.0000, 0.2299, 0.0795) [8 per cell]
Nd (0.0000, 0.0682, 0.6094) [8 per cell]
Nd (0.0000, 0.3513, 0.7500) [4 per cell]
P (0.0000, 0.3474, 0.2500) [4 per cell]
P (0.0000, 0.3775, 0.5509) [8 per cell]

---

# 25
A geometry-optimized TbPm3Ho5 structure, computed with GGA-PBE.

Results
- E above lowest polymorph: 28 meV per atom
- Energy relative to the elements: 28 kJ/mol of atoms

Unit cell a=18.1799 b=6.3500 c=11.4798 alpha=90.00 beta=111.90 gamma=90.00
Space group C2/c (No. 15)
Asymmetric unit:
Tb (0.0000, 0.0963, 0.2500) [4 per cell]
Pm (0.0000, 0.5000, 0.0000) [4 per cell]
Pm (0.1714, 0.3177, 0.3737) [8 per cell]
Ho (0.0000, 0.3809, 0.7500) [4 per cell]
Ho (0.1592, 0.1895, 0.0130) [8 per cell]
Ho (0.1697, 0.2073, 0.7156) [8 per cell]

---

Record order is preserved below.
Total moment: 0.0 0.0 0.0 0.0 3.9 0.0 0.0 0.0 1.8 0.0 0.0 0.0 0.0 0.0 4.0 0.0 0.0 0.0 0.0 0.0 0.1 5.0 0.2 0.4 0.0 μB/f.u.